First-principles (GGA-PBE) data for an optimized crystal structure of AlSiNi4, as listed in Alexandria.

The space-group type is No. 216. As for the volume: 11.99 A^3/atom. For the offset from the most stable computed form, the calculation gives 334 meV/atom. The calculation puts the electronic total energy at -33.03 eV/f.u.

Unit cell a=4.669 b=4.669 c=4.669 alpha=60.00 beta=60.00 gamma=60.00
Atoms (fractional coordinates):
Al 0.000 0.000 0.000
Si 0.250 0.250 0.250
Ni 0.125 0.625 0.625
Ni 0.625 0.125 0.625
Ni 0.625 0.625 0.125
Ni 0.625 0.625 0.625

***

First-principles (GGA-PBE) data for an optimized crystal structure of Al3Si3Ni, as listed in Alexandria.

The space-group type is No. 59. As for the volume: 17.39 A^3/atom. For the offset from the most stable computed form, the calculation gives 66 meV/atom. The calculation puts the electronic total energy at -33.09 eV/f.u.

Unit cell a=3.669 b=7.495 c=8.854 alpha=90.00 beta=90.00 gamma=90.00
Atoms (fractional coordinates):
Al 0.250 0.047 0.120
Al 0.250 0.250 0.594
Al 0.250 0.453 0.120
Al 0.750 0.547 0.880
Al 0.750 0.750 0.406
Al 0.750 0.953 0.880
Si 0.250 0.003 0.407
Si 0.250 0.250 0.872
Si 0.250 0.497 0.407
Si 0.750 0.503 0.593
Si 0.750 0.750 0.128
Si 0.750 0.997 0.593
Ni 0.250 0.750 0.984
Ni 0.750 0.250 0.016

***

First-principles (GGA-PBE) data for an optimized crystal structure of AlSiNi2, as listed in Alexandria.

The space-group type is No. 4. As for the volume: 11.82 A^3/atom. The calculation puts the electronic total energy at -23.03 eV/f.u.

Unit cell a=4.514 b=4.583 c=4.573 alpha=90.00 beta=92.16 gamma=90.00
Atoms (fractional coordinates):
Al 0.094 0.000 0.153
Al 0.906 0.500 0.847
Si 0.399 0.197 0.661
Si 0.601 0.697 0.339
Ni 0.112 0.498 0.360
Ni 0.405 0.710 0.840
Ni 0.595 0.210 0.160
Ni 0.888 0.998 0.640

***

First-principles (GGA-PBE) data for an optimized crystal structure of Al2SiNi3, as listed in Alexandria.

The space-group type is No. 65. As for the volume: 11.84 A^3/atom. The calculation puts the electronic total energy at -33.37 eV/f.u.

Unit cell a=6.069 b=6.069 c=3.645 alpha=90.00 beta=90.00 gamma=148.04
Atoms (fractional coordinates):
Al 0.163 0.837 0.000
Al 0.837 0.163 0.000
Si 0.000 0.000 0.500
Ni 0.339 0.661 0.500
Ni 0.500 0.500 0.000
Ni 0.661 0.339 0.500

***

First-principles (GGA-PBE) data for an optimized crystal structure of AlSiNi2, as listed in Alexandria.

The space-group type is No. 164. As for the volume: 13.97 A^3/atom. The calculation puts the electronic total energy at -21.41 eV/f.u.

Unit cell a=3.492 b=3.492 c=5.291 alpha=90.00 beta=90.00 gamma=120.00
Atoms (fractional coordinates):
Al 0.000 0.000 0.000
Si 0.000 0.000 0.500
Ni 0.333 0.667 0.300
Ni 0.667 0.333 0.700

***

First-principles (GGA-PBE) data for an optimized crystal structure of Al4Si2Ni, as listed in Alexandria.

The space-group type is No. 11. As for the volume: 15.15 A^3/atom. For the offset from the most stable computed form, the calculation gives 0 meV/atom. The calculation puts the electronic total energy at -32.15 eV/f.u.

Unit cell a=7.551 b=2.832 c=10.233 alpha=90.00 beta=104.22 gamma=90.00
Atoms (fractional coordinates):
Al 0.020 0.250 0.351
Al 0.092 0.750 0.925
Al 0.345 0.250 0.832
Al 0.406 0.250 0.368
Al 0.594 0.750 0.632
Al 0.655 0.750 0.168
Al 0.908 0.250 0.075
Al 0.980 0.750 0.649
Si 0.263 0.250 0.580
Si 0.356 0.250 0.099
Si 0.644 0.750 0.901
Si 0.737 0.750 0.420
Ni 0.171 0.750 0.195
Ni 0.829 0.250 0.805

***

First-principles (GGA-PBE) data for an optimized crystal structure of AlSiNi, as listed in Alexandria.

The space-group type is No. 186. As for the volume: 14.26 A^3/atom. The calculation puts the electronic total energy at -14.75 eV/f.u.

Unit cell a=4.300 b=4.300 c=5.345 alpha=90.00 beta=90.00 gamma=120.00
Atoms (fractional coordinates):
Al 0.333 0.667 0.000
Al 0.667 0.333 0.500
Si 0.333 0.667 0.503
Si 0.667 0.333 0.003
Ni 0.000 0.000 0.094
Ni 0.000 0.000 0.594

***

First-principles (GGA-PBE) data for an optimized crystal structure of AlSiNi2, as listed in Alexandria.

The space-group type is No. 194. As for the volume: 13.04 A^3/atom. The calculation puts the electronic total energy at -20.91 eV/f.u.

Unit cell a=4.063 b=4.063 c=7.297 alpha=90.00 beta=90.00 gamma=120.00
Atoms (fractional coordinates):
Al 0.333 0.667 0.250
Al 0.667 0.333 0.750
Si 0.000 0.000 0.250
Si 0.000 0.000 0.750
Ni 0.333 0.667 0.587
Ni 0.333 0.667 0.913
Ni 0.667 0.333 0.087
Ni 0.667 0.333 0.413

***

| no. | E_form (uncorrected) (eV/atom) | total moment (μB/atom) |
| --- | --- | --- |
| 1 | -0.12 | 0.000 |
| 2 | 0.03 | 0.000 |
| 3 | -0.57 | 0.000 |
| 4 | -0.52 | 0.000 |
| 5 | -0.17 | 0.000 |
| 6 | -0.08 | 0.000 |
| 7 | 0.06 | 0.000 |
| 8 | -0.04 | 0.000 |